14
Lattice="8.139 0.000 0.000 0.000 8.139 0.000 0.000 0.000 4.619" Properties=species:S:1:pos:R:3 comment="NaIn2Au4 | the Alexandria database | PBE-GGA | relaxed" ef_kj_per_mol_atoms=-19.6 total_energy_ev_per_atom=-3.046 pbc="T T T"
Na 0.000 0.000 0.000
Na 4.070 4.070 2.310
In 1.739 1.739 2.310
In 2.330 5.809 0.000
In 5.809 2.330 0.000
In 6.400 6.400 2.310
Au 0.825 5.268 2.310
Au 1.199 3.245 0.000
Au 2.871 7.314 2.310
Au 3.245 1.199 0.000
Au 4.894 6.940 0.000
Au 5.268 0.825 2.310
Au 6.940 4.894 0.000
Au 7.314 2.871 2.310